This record from Alexandria describes In2Pt3 at its PBEsol-relaxed geometry. The functional is meta-GGA SCAN.

Cell lengths 5.576, 5.576, 13.697 Å; angles 90.00, 90.00, 120.00 degrees
Positions (direct):
In (0.000, 0.000, 0.750)
In (0.667, 0.333, 0.414)
In (0.667, 0.333, 0.750)
In (0.000, 0.000, 0.250)
In (0.333, 0.667, 0.250)
In (0.333, 0.667, 0.586)
In (0.667, 0.333, 0.086)
In (0.333, 0.667, 0.914)
Pt (0.834, 0.166, 0.589)
Pt (0.668, 0.834, 0.089)
Pt (0.834, 0.668, 0.911)
Pt (0.166, 0.834, 0.089)
Pt (0.166, 0.332, 0.411)
Pt (0.668, 0.834, 0.411)
Pt (0.332, 0.166, 0.911)
Pt (0.166, 0.332, 0.089)
Pt (0.834, 0.668, 0.589)
Pt (0.166, 0.834, 0.411)
Pt (0.834, 0.166, 0.911)
Pt (0.332, 0.166, 0.589)

Properties
Spin magnetization = 0.00 μB per formula unit
Energy of formation from the pure elements = -2.75 eV/f.u.
Space-group type = P6_3/mmc (194)

***

This record from Alexandria describes LiMo2P3O13 at its PBEsol-relaxed geometry. The functional is meta-GGA SCAN.

Cell lengths 7.970, 9.130, 9.130 Å; angles 110.91, 108.79, 108.79 degrees
Positions (direct):
Mo (0.686, 0.844, 0.665)
Mo (0.186, 0.665, 0.844)
Mo (0.314, 0.156, 0.335)
Mo (0.814, 0.335, 0.156)
O (0.932, 0.495, 0.610)
O (0.432, 0.610, 0.495)
O (0.430, 0.738, 0.079)
O (0.750, 0.265, 0.735)
O (0.068, 0.505, 0.390)
O (0.570, 0.262, 0.921)
O (0.480, 0.030, 0.314)
O (0.633, 0.850, 0.405)
O (0.687, 0.424, 0.294)
O (0.250, 0.735, 0.265)
O (0.813, 0.706, 0.576)
O (0.520, 0.970, 0.686)
O (0.133, 0.405, 0.850)
O (0.070, 0.921, 0.262)
O (0.867, 0.595, 0.150)
O (0.930, 0.079, 0.738)
O (0.020, 0.686, 0.970)
O (0.980, 0.314, 0.030)
O (0.756, 0.858, 0.863)
O (0.744, 0.137, 0.142)
O (0.256, 0.863, 0.858)
O (0.187, 0.294, 0.424)
O (0.244, 0.142, 0.137)
O (0.313, 0.576, 0.706)
O (0.568, 0.390, 0.505)
O (0.367, 0.150, 0.595)
P (0.959, 0.269, 0.844)
P (0.459, 0.844, 0.269)
P (0.541, 0.156, 0.731)
P (0.750, 0.504, 0.496)
P (0.041, 0.731, 0.156)
P (0.250, 0.496, 0.504)
Li (0.000, 0.000, 0.500)
Li (0.500, 0.500, 0.000)

Properties
Uncorrected formation energy = -52.74 kcal/mol of atoms
Spin magnetization = 2.00 μB per formula unit
ΔE to the lowest computed polymorph = 37 meV/atom
Space-group type = C2/c (15)

***

This record from Alexandria describes ZnIrOs2 at its PBEsol-relaxed geometry. The functional is meta-GGA SCAN.

Cell lengths 3.795, 3.795, 4.684 Å; angles 113.89, 113.89, 90.00 degrees
Positions (direct):
Zn (0.500, 0.500, 0.000)
Ir (0.250, 0.750, 0.500)
Os (0.750, 0.250, 0.500)
Os (0.000, 0.000, 0.000)

Properties
Spin magnetization = 0.88 μB per formula unit
Energy of formation from the pure elements = 0.91 eV/f.u.
Space-group type = I-4m2 (119)

***

This record from Alexandria describes TiH42N14Cl3 at its PBEsol-relaxed geometry. The functional is meta-GGA SCAN.

Cell lengths 8.969, 9.165, 12.216 Å; angles 90.00, 92.40, 90.00 degrees
Positions (direct):
H (0.220, 0.811, 0.245)
H (0.771, 0.067, 0.180)
H (0.415, 0.109, 0.024)
H (0.991, 0.892, 0.939)
H (0.584, 0.963, 0.395)
H (0.841, 0.471, 0.379)
H (0.024, 0.982, 0.157)
H (0.928, 0.443, 0.664)
H (0.503, 0.653, 0.508)
H (0.263, 0.322, 0.132)
H (0.416, 0.037, 0.605)
H (0.112, 0.673, 0.546)
H (0.213, 0.201, 0.410)
H (0.072, 0.443, 0.836)
H (0.336, 0.190, 0.855)
H (0.771, 0.933, 0.680)
H (0.009, 0.892, 0.561)
H (0.841, 0.529, 0.879)
H (0.363, 0.708, 0.070)
H (0.826, 0.923, 0.875)
H (0.009, 0.108, 0.061)
H (0.159, 0.471, 0.121)
H (0.220, 0.189, 0.745)
H (0.500, 0.610, 0.377)
H (0.454, 0.127, 0.156)
H (0.546, 0.127, 0.344)
H (0.336, 0.810, 0.355)
H (0.585, 0.891, 0.976)
H (0.263, 0.678, 0.632)
H (0.497, 0.347, 0.492)
H (0.230, 0.469, 0.311)
H (0.454, 0.873, 0.656)
H (0.500, 0.390, 0.877)
H (0.415, 0.891, 0.524)
H (0.584, 0.037, 0.895)
H (0.689, 0.231, 0.200)
H (0.868, 0.574, 0.581)
H (0.847, 0.191, 0.633)
H (0.737, 0.678, 0.868)
H (0.072, 0.557, 0.336)
H (0.229, 0.067, 0.320)
H (0.112, 0.327, 0.046)
H (0.888, 0.673, 0.954)
H (0.888, 0.327, 0.454)
H (0.229, 0.933, 0.820)
H (0.132, 0.426, 0.419)
H (0.416, 0.963, 0.105)
H (0.991, 0.108, 0.439)
H (0.928, 0.557, 0.164)
H (0.497, 0.653, 0.992)
H (0.024, 0.018, 0.657)
H (0.664, 0.190, 0.645)
H (0.847, 0.809, 0.133)
H (0.826, 0.077, 0.375)
H (0.637, 0.292, 0.930)
H (0.787, 0.201, 0.090)
H (0.132, 0.574, 0.919)
H (0.868, 0.426, 0.081)
H (0.770, 0.469, 0.189)
H (0.976, 0.018, 0.843)
H (0.230, 0.531, 0.811)
H (0.664, 0.810, 0.145)
H (0.500, 0.610, 0.123)
H (0.637, 0.708, 0.430)
H (0.585, 0.109, 0.476)
H (0.780, 0.189, 0.755)
H (0.213, 0.799, 0.910)
H (0.311, 0.231, 0.300)
H (0.153, 0.191, 0.867)
H (0.174, 0.923, 0.625)
H (0.976, 0.982, 0.343)
H (0.787, 0.799, 0.590)
H (0.159, 0.529, 0.621)
H (0.311, 0.769, 0.800)
H (0.503, 0.347, 0.008)
H (0.153, 0.809, 0.367)
H (0.363, 0.292, 0.570)
H (0.546, 0.873, 0.844)
H (0.780, 0.811, 0.255)
H (0.770, 0.531, 0.689)
H (0.174, 0.077, 0.125)
H (0.737, 0.322, 0.368)
H (0.500, 0.390, 0.623)
H (0.689, 0.769, 0.700)
N (0.059, 0.915, 0.637)
N (0.386, 0.072, 0.100)
N (0.784, 0.820, 0.673)
N (0.845, 0.358, 0.378)
N (0.763, 0.147, 0.677)
N (0.523, 0.306, 0.932)
N (0.237, 0.853, 0.323)
N (0.941, 0.915, 0.863)
N (0.155, 0.358, 0.122)
N (0.523, 0.694, 0.432)
N (0.155, 0.642, 0.622)
N (0.877, 0.456, 0.163)
N (0.784, 0.180, 0.173)
N (0.941, 0.085, 0.363)
N (0.477, 0.306, 0.568)
N (0.845, 0.642, 0.878)
N (0.614, 0.928, 0.900)
N (0.386, 0.928, 0.600)
N (0.123, 0.456, 0.337)
N (0.237, 0.147, 0.823)
N (0.059, 0.085, 0.137)
N (0.477, 0.694, 0.068)
N (0.216, 0.820, 0.827)
N (0.614, 0.072, 0.400)
N (0.123, 0.544, 0.837)
N (0.216, 0.180, 0.327)
N (0.877, 0.544, 0.663)
N (0.763, 0.853, 0.177)
Ti (0.000, 0.268, 0.250)
Ti (0.000, 0.732, 0.750)
Cl (0.099, 0.719, 0.079)
Cl (0.500, 0.392, 0.250)
Cl (0.901, 0.281, 0.921)
Cl (0.099, 0.281, 0.579)
Cl (0.500, 0.608, 0.750)
Cl (0.901, 0.719, 0.421)

Properties
Spin magnetization = 1.00 μB per formula unit
Final energy = -5.7626 eV/atom
Space-group type = P2/c (13)

***

This record from Alexandria describes LiScPt2 at its PBEsol-relaxed geometry. The functional is meta-GGA SCAN.

Cell lengths 4.146, 4.581, 4.146 Å; angles 116.90, 90.00, 116.90 degrees
Positions (direct):
Pt (0.750, 0.500, 0.250)
Pt (0.250, 0.500, 0.750)
Li (0.000, 0.000, 0.000)
Sc (0.500, 0.000, 0.500)

Properties
Spin magnetization = 0.00 μB per formula unit
ΔE to the lowest computed polymorph = 3 meV/atom
Energy of formation from the pure elements = -4.61 eV/f.u.
Space-group type = I4/mmm (139)

***

This record from Alexandria describes BeCrB2H at its PBEsol-relaxed geometry. The functional is meta-GGA SCAN.

Cell lengths 3.803, 3.803, 4.303 Å; angles 90.00, 90.00, 90.00 degrees
Positions (direct):
B (0.000, 0.500, 0.000)
B (0.500, 0.000, 0.000)
Be (0.000, 0.000, 0.500)
H (0.500, 0.500, 0.500)
Cr (0.000, 0.000, 0.000)

Properties
Spin magnetization = 1.12 μB per formula unit
Final energy = -6.3538 eV/atom
Space-group type = P4/mmm (123)

***

This record from Alexandria describes MnAlBr2 at its PBEsol-relaxed geometry. The functional is meta-GGA SCAN.

Cell lengths 3.491, 3.491, 9.092 Å; angles 90.00, 90.00, 119.25 degrees
Positions (direct):
Br (0.000, 0.000, 0.701)
Br (0.000, 0.000, 0.299)
Al (0.500, 0.500, 0.000)
Mn (0.500, 0.500, 0.500)

Properties
Uncorrected formation energy = -5.48 kcal/mol of atoms
Spin magnetization = 4.68 μB per formula unit
ΔE to the lowest computed polymorph = 350 meV/atom
Space-group type = Cmmm (65)

***

This record from Alexandria describes ZrTcSe2 at its PBEsol-relaxed geometry. The functional is meta-GGA SCAN.

Cell lengths 3.217, 4.487, 4.487 Å; angles 90.00, 90.00, 90.00 degrees
Positions (direct):
Se (0.000, 0.000, 0.500)
Se (0.000, 0.500, 0.000)
Tc (0.500, 0.500, 0.500)
Zr (0.500, 0.000, 0.000)

Properties
Uncorrected formation energy = -12.04 kcal/mol of atoms
Spin magnetization = 0.00 μB per formula unit
ΔE to the lowest computed polymorph = 0 meV/atom
Space-group type = P4/mmm (123)

***

This record from Alexandria describes BeFeW2 at its PBEsol-relaxed geometry. The functional is meta-GGA SCAN.

Cell lengths 2.681, 4.092, 4.618 Å; angles 90.00, 99.06, 90.00 degrees
Positions (direct):
Be (0.359, 0.000, 0.480)
Fe (0.371, 0.500, 0.766)
W (0.986, 0.000, 0.959)
W (0.784, 0.500, 0.295)

Properties
Spin magnetization = 0.00 μB per formula unit
Energy of formation from the pure elements = 0.80 eV/f.u.
Space-group type = Pm (6)

***

This record from Alexandria describes NbAl3N at its PBEsol-relaxed geometry. The functional is meta-GGA SCAN.

Cell lengths 4.060, 4.060, 4.060 Å; angles 90.00, 90.00, 90.00 degrees
Positions (direct):
N (0.000, 0.000, 0.000)
Al (0.000, 0.000, 0.500)
Al (0.500, 0.000, 0.000)
Al (0.000, 0.500, 0.000)
Nb (0.500, 0.500, 0.500)

Properties
Uncorrected formation energy = -3.30 kcal/mol of atoms
Spin magnetization = 0.78 μB per formula unit
Space-group type = Pm-3m (221)

***

This record from Alexandria describes Li3YZr at its PBEsol-relaxed geometry. The functional is meta-GGA SCAN.

Cell lengths 4.981, 4.981, 4.981 Å; angles 90.00, 90.00, 90.00 degrees
Positions (direct):
Li (0.000, 0.000, 0.500)
Li (0.500, 0.000, 0.000)
Li (0.000, 0.500, 0.000)
Y (0.500, 0.500, 0.500)
Zr (0.000, 0.000, 0.000)

Properties
Spin magnetization = 3.66 μB per formula unit
Energy of formation from the pure elements = 4.58 eV/f.u.
Space-group type = Pm-3m (221)

***

This record from Alexandria describes FeMo2HIr at its PBEsol-relaxed geometry. The functional is meta-GGA SCAN.

Cell lengths 3.742, 3.878, 3.878 Å; angles 90.00, 90.00, 90.00 degrees
Positions (direct):
H (0.000, 0.000, 0.000)
Ir (0.500, 0.500, 0.500)
Mo (0.000, 0.500, 0.000)
Mo (0.000, 0.000, 0.500)
Fe (0.500, 0.000, 0.000)

Properties
Spin magnetization = 1.14 μB per formula unit
Final energy = -32.5341 eV/atom
Space-group type = P4/mmm (123)

***

This record from Alexandria describes BeAg2Ru at its PBEsol-relaxed geometry. The functional is meta-GGA SCAN.

Cell lengths 2.715, 2.715, 8.755 Å; angles 81.08, 81.08, 60.00 degrees
Positions (direct):
Ru (0.000, 0.000, 0.000)
Ag (0.758, 0.758, 0.726)
Ag (0.242, 0.242, 0.274)
Be (0.500, 0.500, 0.500)

Properties
Spin magnetization = 1.05 μB per formula unit
Energy of formation from the pure elements = 1.45 eV/f.u.
Space-group type = R-3m (166)

***

This record from Alexandria describes Y3GaRu at its PBEsol-relaxed geometry. The functional is meta-GGA SCAN.

Cell lengths 5.199, 5.199, 5.199 Å; angles 90.00, 90.00, 90.00 degrees
Positions (direct):
Ru (0.500, 0.500, 0.500)
Ga (0.000, 0.000, 0.000)
Y (0.500, 0.000, 0.000)
Y (0.000, 0.000, 0.500)
Y (0.000, 0.500, 0.000)

Properties
Spin magnetization = 0.05 μB per formula unit
Energy of formation from the pure elements = 2.89 eV/f.u.
Space-group type = Pm-3m (221)

***

This record from Alexandria describes TlTc2Ru at its PBEsol-relaxed geometry. The functional is meta-GGA SCAN.

Cell lengths 2.800, 2.800, 9.114 Å; angles 90.00, 90.00, 117.02 degrees
Positions (direct):
Tl (0.000, 0.000, 0.497)
Tc (0.000, 0.000, 0.999)
Tc (0.500, 0.500, 0.771)
Ru (0.500, 0.500, 0.233)

Properties
Spin magnetization = 0.60 μB per formula unit
ΔE to the lowest computed polymorph = 209 meV/atom
Energy of formation from the pure elements = 2.75 eV/f.u.
Space-group type = Cmm2 (35)

***

This record from Alexandria describes Na2TlCoAu at its PBEsol-relaxed geometry. The functional is meta-GGA SCAN.

Cell lengths 5.081, 5.638, 5.638 Å; angles 90.00, 90.00, 90.00 degrees
Positions (direct):
Co (0.500, 0.500, 0.500)
Tl (0.000, 0.000, 0.000)
Na (0.000, 0.500, 0.000)
Na (0.000, 0.000, 0.500)
Au (0.500, 0.000, 0.000)

Properties
Spin magnetization = 1.98 μB per formula unit
Energy of formation from the pure elements = 3.74 eV/f.u.
Space-group type = P4/mmm (123)

***

This record from Alexandria describes NaNbRe3 at its PBEsol-relaxed geometry. The functional is meta-GGA SCAN.

Cell lengths 4.378, 4.378, 4.378 Å; angles 90.00, 90.00, 90.00 degrees
Positions (direct):
Nb (0.500, 0.500, 0.500)
Re (0.000, 0.500, 0.000)
Re (0.000, 0.000, 0.500)
Re (0.500, 0.000, 0.000)
Na (0.000, 0.000, 0.000)

Properties
Spin magnetization = 1.46 μB per formula unit
Energy of formation from the pure elements = 14.04 eV/f.u.
Space-group type = Pm-3m (221)

***

This record from Alexandria describes TbSm at its PBEsol-relaxed geometry. The functional is meta-GGA SCAN.

Cell lengths 3.558, 3.558, 5.653 Å; angles 90.00, 90.00, 120.00 degrees
Positions (direct):
Sm (0.000, 0.000, 0.500)
Tb (0.333, 0.667, 0.000)

Properties
Spin magnetization = 0.07 μB per formula unit
Energy of formation from the pure elements = 0.05 eV/f.u.
Space-group type = P-6m2 (187)

***

This record from Alexandria describes InRh2Br at its PBEsol-relaxed geometry. The functional is meta-GGA SCAN.

Cell lengths 3.102, 3.102, 8.258 Å; angles 79.17, 79.17, 60.00 degrees
Positions (direct):
In (0.000, 0.000, 0.000)
Rh (0.249, 0.249, 0.254)
Rh (0.751, 0.751, 0.746)
Br (0.500, 0.500, 0.500)

Properties
Uncorrected formation energy = 4.14 kcal/mol of atoms
Spin magnetization = 0.00 μB per formula unit
ΔE to the lowest computed polymorph = 0 meV/atom
Space-group type = R-3m (166)

***

This record from Alexandria describes ZrMoAu2 at its PBEsol-relaxed geometry. The functional is meta-GGA SCAN.

Cell lengths 2.833, 2.833, 8.650 Å; angles 90.00, 90.00, 90.06 degrees
Positions (direct):
Au (0.000, 0.000, 0.997)
Au (0.500, 0.500, 0.741)
Zr (0.500, 0.500, 0.249)
Mo (0.000, 0.000, 0.513)

Properties
Spin magnetization = 0.00 μB per formula unit
ΔE to the lowest computed polymorph = 0 meV/atom
Energy of formation from the pure elements = -0.41 eV/f.u.
Space-group type = P4mm (99)